{
  "formula": "YTaTe2",
  "functional": "GGA-PBE",
  "state": "relaxed",
  "cell": [[3.545, 0.000, 0.000], [0.000, 3.471, 0.701], [0.000, 2.018, 7.894]],
  "species": ["Ta", "Te", "Te", "Y"],
  "fractional_positions": [[0.500, 0.750, 0.750], [0.000, 0.023, 0.978], [0.000, 0.477, 0.522], [0.500, 0.250, 0.250]],
  "raw_formation_energy_ev_per_atom": -0.403
}

***

{
  "formula": "YTaTe2",
  "functional": "GGA-PBE",
  "state": "relaxed",
  "cell": [[5.700, 0.000, 0.000], [0.000, 5.700, 0.000], [2.850, 2.850, 8.114]],
  "species": ["Y", "Y", "Te", "Te", "Te", "Te", "Ta", "Ta"],
  "fractional_positions": [[0.500, 0.500, 0.000], [0.250, 0.750, 0.500], [0.674, 0.125, 0.250], [0.076, 0.625, 0.250], [0.375, 0.326, 0.750], [0.875, 0.924, 0.750], [0.000, 0.000, 0.000], [0.750, 0.250, 0.500]],
  "raw_formation_energy_ev_per_atom": 0.038
}

***

{
  "formula": "YTa2Te",
  "functional": "GGA-PBE",
  "state": "relaxed",
  "cell": [[-3.161, -1.547, 4.424], [-3.897, -3.885, -1.296], [5.583, 0.874, -0.126]],
  "species": ["Ta", "Ta", "Te", "Y"],
  "fractional_positions": [[0.982, 0.982, 0.000], [0.765, 0.265, 0.500], [0.512, 0.512, 0.000], [0.242, 0.742, 0.500]],
  "raw_formation_energy_ev_per_atom": 0.143
}

***

{
  "formula": "YTa2Te",
  "functional": "GGA-PBE",
  "state": "relaxed",
  "cell": [[-3.431, -0.832, -0.089], [0.537, -2.479, 2.458], [-1.315, 4.867, 5.196]],
  "species": ["Ta", "Ta", "Te", "Y"],
  "fractional_positions": [[0.000, 0.000, 0.043], [0.500, 0.500, 0.233], [0.000, 0.000, 0.458], [0.500, 0.500, 0.766]],
  "raw_formation_energy_ev_per_atom": -0.048
}

***

{
  "formula": "YTa2Te",
  "functional": "GGA-PBE",
  "state": "relaxed",
  "cell": [[-3.667, 2.359, -2.210], [1.570, -3.067, -3.468], [-2.352, -2.544, 1.185]],
  "species": ["Ta", "Ta", "Te", "Y"],
  "fractional_positions": [[0.000, 0.000, 0.000], [0.500, 0.500, 0.000], [0.500, 0.000, 0.500], [0.000, 0.500, 0.500]],
  "raw_formation_energy_ev_per_atom": 0.355
}

***

{
  "formula": "YTa2Te",
  "functional": "GGA-PBE",
  "state": "relaxed",
  "cell": [[-4.008, -1.029, 0.373], [-0.163, -0.841, -4.066], [0.719, -11.140, 0.152]],
  "species": ["Y", "Y", "Te", "Te", "Ta", "Ta", "Ta", "Ta"],
  "fractional_positions": [[0.500, 0.500, 0.000], [0.250, 0.750, 0.500], [0.000, 0.000, 0.000], [0.750, 0.250, 0.500], [0.633, 0.125, 0.250], [0.117, 0.625, 0.250], [0.375, 0.367, 0.750], [0.875, 0.883, 0.750]],
  "raw_formation_energy_ev_per_atom": 0.342
}

***

{
  "formula": "YTaTe4",
  "functional": "GGA-PBE",
  "state": "relaxed",
  "cell": [[2.879, -2.197, 5.048], [2.897, 3.903, 3.870], [-2.355, 1.097, 5.644]],
  "species": ["Y", "Ta", "Te", "Te", "Te", "Te"],
  "fractional_positions": [[0.750, 0.750, 0.750], [0.000, 0.000, 0.000], [0.875, 0.375, 0.375], [0.375, 0.375, 0.875], [0.375, 0.875, 0.375], [0.375, 0.375, 0.375]],
  "raw_formation_energy_ev_per_atom": 0.749
}

***

{
  "formula": "YTaTe2",
  "functional": "GGA-PBE",
  "state": "relaxed",
  "cell": [[5.212, 0.000, 0.000], [2.606, 4.514, 0.000], [2.606, 1.505, 4.255]],
  "species": ["Ta", "Te", "Te", "Y"],
  "fractional_positions": [[0.500, 0.500, 0.500], [0.000, 0.000, 0.000], [0.750, 0.750, 0.750], [0.250, 0.250, 0.250]],
  "raw_formation_energy_ev_per_atom": 0.334
}

***

{
  "formula": "Y2ZrTaTe",
  "functional": "GGA-PBE",
  "state": "relaxed",
  "cell": [[-2.904, 3.776, 2.711], [-3.120, -3.726, 1.846], [3.284, -0.596, 4.347]],
  "species": ["Y", "Y", "Te", "Zr", "Ta"],
  "fractional_positions": [[0.000, 0.000, 0.500], [0.500, 0.000, 0.000], [0.000, 0.500, 0.000], [0.500, 0.500, 0.500], [0.000, 0.000, 0.000]],
  "raw_formation_energy_ev_per_atom": 0.800
}

***

{
  "formula": "Ta2ZnTe",
  "functional": "GGA-PBE",
  "state": "relaxed",
  "cell": [[4.448, 0.000, 0.000], [0.000, 3.071, -0.011], [0.000, 0.988, 5.491]],
  "species": ["Ta", "Ta", "Te", "Zn"],
  "fractional_positions": [[0.000, 0.014, 0.986], [0.000, 0.486, 0.514], [0.500, 0.250, 0.250], [0.500, 0.750, 0.750]],
  "raw_formation_energy_ev_per_atom": 0.335
}

***

{
  "formula": "Ta2ZnTe",
  "functional": "GGA-PBE",
  "state": "relaxed",
  "cell": [[3.453, 0.000, 0.000], [0.000, 4.784, 0.000], [0.000, 0.000, 4.506]],
  "species": ["Ta", "Ta", "Te", "Zn"],
  "fractional_positions": [[0.000, 0.000, 0.000], [0.500, 0.500, 0.000], [0.500, 0.000, 0.500], [0.000, 0.500, 0.500]],
  "raw_formation_energy_ev_per_atom": 0.272
}

***

{
  "formula": "Ta2ZnTe",
  "functional": "GGA-PBE",
  "state": "relaxed",
  "cell": [[-1.580, -0.705, -5.073], [-2.646, -4.606, -0.719], [-0.115, 4.614, 2.726]],
  "species": ["Ta", "Ta", "Te", "Zn"],
  "fractional_positions": [[0.004, 0.004, 0.000], [0.496, 0.496, 0.000], [0.750, 0.250, 0.500], [0.250, 0.750, 0.500]],
  "raw_formation_energy_ev_per_atom": 0.249
}

***

{
  "formula": "Ta2ZnTe",
  "functional": "GGA-PBE",
  "state": "relaxed",
  "cell": [[4.996, -0.003, 0.003], [3.900, 3.122, 0.003], [0.659, 0.231, 4.847]],
  "species": ["Ta", "Ta", "Te", "Zn"],
  "fractional_positions": [[0.999, 0.999, 0.016], [0.501, 0.501, 0.484], [0.750, 0.750, 0.750], [0.250, 0.250, 0.250]],
  "raw_formation_energy_ev_per_atom": 0.231
}

***

{
  "formula": "Ta2ZnTe",
  "functional": "GGA-PBE",
  "state": "relaxed",
  "cell": [[-1.677, -2.587, -1.717], [1.920, 0.670, -2.885], [4.167, -3.935, 1.859]],
  "species": ["Ta", "Ta", "Te", "Zn"],
  "fractional_positions": [[0.000, 0.000, 0.991], [0.500, 0.500, 0.234], [0.000, 0.000, 0.493], [0.500, 0.500, 0.781]],
  "raw_formation_energy_ev_per_atom": 0.091
}

***

{
  "formula": "Ta2ZnTe",
  "functional": "GGA-PBE",
  "state": "relaxed",
  "cell": [[-0.172, -0.178, 4.876], [-1.245, -4.674, 0.670], [3.730, 1.632, -2.695]],
  "species": ["Ta", "Ta", "Te", "Zn"],
  "fractional_positions": [[0.000, 0.000, 0.000], [0.500, 0.500, 0.000], [0.250, 0.750, 0.500], [0.750, 0.250, 0.500]],
  "raw_formation_energy_ev_per_atom": 0.375
}

***

{
  "formula": "Ta2Zn2Te",
  "functional": "GGA-PBE",
  "state": "relaxed",
  "cell": [[6.952, 0.000, 0.000], [0.000, 6.952, 0.000], [0.000, 0.000, 3.682]],
  "species": ["Zn", "Zn", "Zn", "Zn", "Te", "Te", "Ta", "Ta", "Ta", "Ta"],
  "fractional_positions": [[0.376, 0.876, 0.000], [0.876, 0.624, 0.000], [0.624, 0.124, 0.000], [0.124, 0.376, 0.000], [0.000, 0.000, 0.000], [0.500, 0.500, 0.000], [0.171, 0.671, 0.500], [0.671, 0.829, 0.500], [0.829, 0.329, 0.500], [0.329, 0.171, 0.500]],
  "raw_formation_energy_ev_per_atom": 0.489
}

***

{
  "formula": "Ta2ZnTe",
  "functional": "GGA-PBE",
  "state": "relaxed",
  "cell": [[-5.184, 1.036, -7.539], [-5.359, -2.051, -7.201], [-7.293, -0.200, -5.617]],
  "species": ["Ta", "Ta", "Te", "Zn"],
  "fractional_positions": [[0.001, 0.001, 0.001], [0.499, 0.499, 0.499], [0.250, 0.250, 0.250], [0.750, 0.750, 0.750]],
  "raw_formation_energy_ev_per_atom": 0.366
}

***

{
  "formula": "Ta2ZnTe",
  "functional": "GGA-PBE",
  "state": "relaxed",
  "cell": [[-2.007, 1.295, -1.877], [0.527, -2.788, -1.085], [-7.274, -3.470, 5.385]],
  "species": ["Ta", "Ta", "Te", "Zn"],
  "fractional_positions": [[0.000, 0.000, 0.010], [0.500, 0.500, 0.227], [0.000, 0.000, 0.457], [0.500, 0.500, 0.806]],
  "raw_formation_energy_ev_per_atom": 0.203
}

***

{
  "formula": "TaZn3Te",
  "functional": "GGA-PBE",
  "state": "relaxed",
  "cell": [[-0.396, 2.776, -4.245], [-4.281, 2.100, 1.773], [2.719, 3.710, 2.173]],
  "species": ["Zn", "Zn", "Zn", "Te", "Ta"],
  "fractional_positions": [[0.000, 0.500, 0.000], [0.000, 0.000, 0.500], [0.500, 0.000, 0.000], [0.500, 0.500, 0.500], [0.000, 0.000, 0.000]],
  "raw_formation_energy_ev_per_atom": 1.015
}

***

{
  "formula": "Ta2ZnTe",
  "functional": "GGA-PBE",
  "state": "relaxed",
  "cell": [[-0.486, 3.321, 2.383], [-2.573, -2.197, 2.537], [3.319, -1.190, 2.336]],
  "species": ["Ta", "Ta", "Te", "Zn"],
  "fractional_positions": [[0.000, 0.000, 0.000], [0.000, 0.500, 0.500], [0.500, 0.500, 0.000], [0.500, 0.000, 0.500]],
  "raw_formation_energy_ev_per_atom": 0.403
}